(1)
# Dy7Ho2Er

A relaxed Dy7Ho2Er crystal (GGA-PBE, Alexandria via LeMat-Bulk).

a = 6.0986 Å, b = 10.5705 Å, c = 11.1406 Å
α = 137.55°, β = 56.83°, γ = 140.27°
Last column: nearest neighbours and their distance in Å.
Positions (direct):
Ho: 0.6004 0.4003 0.6001  10 Dy 3.52-3.53, 1 Ho 3.52, 1 Er 3.52
Ho: 0.3996 0.5997 0.3999  10 Dy 3.52-3.53, 1 Ho 3.52, 1 Er 3.52
Er: 0.0000 0.0000 0.0000  10 Dy 3.52-3.53, 2 Ho 3.52
Dy: 0.6999 0.2999 0.1999  3 Ho 3.52, 2 Er 3.52, 7 Dy 3.52-3.53
Dy: 0.3001 0.7001 0.8001  3 Ho 3.52, 2 Er 3.52, 7 Dy 3.52-3.53
Dy: 0.5000 0.5000 0.0000  8 Dy 3.52-3.53, 2 Ho 3.52, 2 Er 3.53
Dy: 0.7996 0.1998 0.8000  9 Dy 3.52-3.53, 1 Er 3.52, 2 Ho 3.53
Dy: 0.9002 0.1002 0.4000  4 Ho 3.52-3.53, 7 Dy 3.52-3.53, 1 Er 3.52
Dy: 0.2004 0.8002 0.2000  9 Dy 3.52-3.53, 1 Er 3.52, 2 Ho 3.53
Dy: 0.0998 0.8998 0.6000  4 Ho 3.52-3.53, 7 Dy 3.52-3.53, 1 Er 3.52

Values from the calculation:
* raw total energy: -4.577 eV/atom
* total magnetic moment: 0.00 μB per atom
* offset from the most stable computed form: 0 meV per atom
* energy of formation: 0.017 eV per atom

---

(2)
# Th2GaCo4As3

A relaxed Th2GaCo4As3 crystal (GGA-PBE, Alexandria via LeMat-Bulk).

a = 4.1268 Å, b = 4.1268 Å, c = 9.6507 Å
α = 90.00°, β = 90.00°, γ = 90.00°
Last column: nearest neighbours and their distance in Å.
Positions (direct):
Co: 0.5000 0.5000 0.0000  4 As 2.42
Co: 0.0000 0.0000 0.0000  4 As 2.42
Co: 0.0000 0.5000 0.3736  3 As 2.35-2.40, 2 Ga 2.40
Co: 0.5000 0.0000 0.6264  3 As 2.35-2.40, 2 Ga 2.40
As: 0.5000 0.0000 0.8697  5 Co 2.35-2.42
As: 0.0000 0.0000 0.5000  4 Co 2.40
As: 0.0000 0.5000 0.1303  5 Co 2.35-2.42
Th: 0.5000 0.0000 0.2451  6 As 3.12-3.21, 8 Co 3.14-3.17, 2 Ga 3.21
Th: 0.0000 0.5000 0.7549  6 As 3.12-3.21, 8 Co 3.14-3.17, 2 Ga 3.21
Ga: 0.5000 0.5000 0.5000  4 Co 2.40

Values from the calculation:
* raw total energy: -6.769 eV/atom
* total magnetic moment: 0.13 μB per atom
* energy of formation: -0.745 eV per atom

---

(3)
# LaBe2Se

A relaxed LaBe2Se crystal (GGA-PBE, Alexandria via LeMat-Bulk).

a = 5.3578 Å, b = 5.3578 Å, c = 5.3578 Å
α = 133.35°, β = 133.35°, γ = 68.11°
Last column: nearest neighbours and their distance in Å.
Positions (direct):
La: 0.5000 0.5000 0.0000  8 Be 3.00-3.07, 4 Se 3.07
Se: 0.7500 0.2500 0.5000  8 Be 3.00-3.07, 4 La 3.07
Be: 0.0000 0.0000 0.0000  4 La 3.00, 4 Be 3.07, 4 Se 3.07
Be: 0.2500 0.7500 0.5000  4 Se 3.00, 4 La 3.07, 4 Be 3.07

Values from the calculation:
* raw total energy: -3.855 eV/atom
* total magnetic moment: 0.00 μB per atom
* formation energy from raw total energies: 0.44 eV per formula unit

---

(4)
# AcHo2MgHg4

A relaxed AcHo2MgHg4 crystal (GGA-PBE, Alexandria via LeMat-Bulk).

a = 5.1067 Å, b = 5.1067 Å, c = 10.0150 Å
α = 75.23°, β = 75.23°, γ = 60.00°
Last column: nearest neighbours and their distance in Å.
Positions (direct):
Hg: 0.8724 0.8724 0.3829  4 Ho 3.08-3.13, 3 Mg 3.15
Hg: 0.6085 0.6085 0.1745  1 Mg 3.12, 3 Ho 3.15, 3 Ac 3.39
Hg: 0.1276 0.1276 0.6171  4 Ho 3.08-3.13, 3 Mg 3.15
Hg: 0.3915 0.3915 0.8255  1 Mg 3.12, 3 Ho 3.15, 3 Ac 3.39
Ac: 0.0000 0.0000 0.0000  8 Hg 3.39-3.66
Mg: 0.5000 0.5000 0.5000  8 Hg 3.12-3.15
Ho: 0.7635 0.7635 0.7096  7 Hg 3.08-3.15
Ho: 0.2365 0.2365 0.2904  7 Hg 3.08-3.15

Values from the calculation:
* raw total energy: -2.431 eV/atom
* total magnetic moment: 0.00 μB per atom
* energy of formation: -0.423 eV per atom

---

(5)
# SrPa2PN5

A relaxed SrPa2PN5 crystal (GGA-PBE, Alexandria via LeMat-Bulk).

a = 5.4626 Å, b = 6.6566 Å, c = 6.6566 Å
α = 90.00°, β = 90.00°, γ = 90.00°
Last column: nearest neighbours and their distance in Å.
Positions (direct):
Pa: 0.5000 0.6820 0.1820  4 N 2.26-2.44
Pa: 0.5000 0.8180 0.6820  4 N 2.26-2.44
Pa: 0.5000 0.3180 0.8180  4 N 2.26-2.44
Pa: 0.5000 0.1820 0.3180  4 N 2.26-2.44
P: 0.0000 0.0000 0.5000  4 N 1.79
P: 0.0000 0.5000 0.0000  4 N 1.79
N: 0.2361 0.3675 0.1325  1 P 1.79
N: 0.5000 0.5000 0.5000  4 Pa 2.44, 2 Sr 2.73
N: 0.5000 0.0000 0.0000  4 Pa 2.44, 2 Sr 2.73
N: 0.7639 0.8675 0.3675  1 P 1.79
N: 0.2361 0.6325 0.8675  1 P 1.79
N: 0.2361 0.1325 0.6325  1 P 1.79
N: 0.2361 0.8675 0.3675  1 P 1.79
N: 0.7639 0.1325 0.6325  1 P 1.79
N: 0.7639 0.3675 0.1325  1 P 1.79
N: 0.7639 0.6325 0.8675  1 P 1.79
Sr: 0.0000 0.5000 0.5000  10 N 2.73-2.90
Sr: 0.0000 0.0000 0.0000  10 N 2.73-2.90

Values from the calculation:
* raw total energy: -8.590 eV/atom
* total magnetic moment: 0.00 μB per atom
* formation energy from raw total energies: -9.60 eV per formula unit

---

(6)
# GaAg6Sn2

A relaxed GaAg6Sn2 crystal (GGA-PBE, Alexandria via LeMat-Bulk).

a = 7.1086 Å, b = 6.9354 Å, c = 7.4471 Å
α = 90.00°, β = 93.63°, γ = 90.00°
Last column: nearest neighbours and their distance in Å.
Positions (direct):
Sn: 0.5611 0.8916 0.6747  6 Ag 2.81-3.04, 1 Sn 3.08
Sn: 0.0611 0.6084 0.1747  6 Ag 2.81-3.04, 1 Sn 3.08
Sn: 0.4389 0.1084 0.3253  6 Ag 2.81-3.04, 1 Sn 3.08
Sn: 0.9389 0.3916 0.8253  6 Ag 2.81-3.04, 1 Sn 3.08
Ag: 0.5566 0.3693 0.6409  7 Ag 2.85-3.10, 1 Ga 2.88, 2 Sn 2.97-3.04
Ag: 0.8503 0.6501 0.5337  1 Ga 2.67, 3 Ag 2.80-2.90, 2 Sn 2.86-2.90
Ag: 0.9434 0.8693 0.8591  7 Ag 2.85-3.10, 1 Ga 2.88, 2 Sn 2.97-3.04
Ag: 0.3503 0.8499 0.0337  1 Ga 2.67, 3 Ag 2.80-2.90, 2 Sn 2.86-2.90
Ag: 0.2553 0.1525 0.7960  6 Ag 2.80-3.02, 2 Sn 2.81-3.01, 1 Ga 2.96
Ag: 0.2447 0.6525 0.7040  6 Ag 2.80-3.02, 2 Sn 2.81-3.01, 1 Ga 2.96
Ag: 0.0566 0.1307 0.1409  7 Ag 2.85-3.10, 1 Ga 2.88, 2 Sn 2.97-3.04
Ag: 0.6497 0.1501 0.9663  1 Ga 2.67, 3 Ag 2.80-2.90, 2 Sn 2.86-2.90
Ag: 0.4434 0.6307 0.3591  7 Ag 2.85-3.10, 1 Ga 2.88, 2 Sn 2.97-3.04
Ag: 0.1497 0.3499 0.4663  1 Ga 2.67, 3 Ag 2.80-2.90, 2 Sn 2.86-2.90
Ag: 0.7553 0.3475 0.2960  6 Ag 2.80-3.02, 2 Sn 2.81-3.01, 1 Ga 2.96
Ag: 0.7447 0.8475 0.2040  6 Ag 2.80-3.02, 2 Sn 2.81-3.01, 1 Ga 2.96
Ga: 0.0000 0.0000 0.5000  6 Ag 2.67-2.96
Ga: 0.5000 0.5000 0.0000  6 Ag 2.67-2.96

Values from the calculation:
* raw total energy: -3.084 eV/atom
* total magnetic moment: 0.00 μB per atom
* offset from the most stable computed form: 0 meV per atom
* energy of formation: 0.043 eV per atom